Record 1
A relaxed Nd4AlIr crystal, computed with PBE.

Geometry as POSCAR:
```
Nd4AlIr
1.0
0.000 6.979 6.979
6.979 0.000 6.979
6.979 6.979 0.000
Nd Al Ir
16 4 4
direct
0.188 0.188 0.812
0.188 0.812 0.188
0.188 0.812 0.812
0.399 0.399 0.399
0.399 0.399 0.802
0.399 0.802 0.399
0.554 0.554 0.946
0.554 0.946 0.554
0.554 0.946 0.946
0.802 0.399 0.399
0.812 0.188 0.188
0.812 0.188 0.812
0.812 0.812 0.188
0.946 0.554 0.554
0.946 0.554 0.946
0.946 0.946 0.554
0.176 0.176 0.176
0.176 0.176 0.473
0.176 0.473 0.176
0.473 0.176 0.176
0.174 0.609 0.609
0.609 0.174 0.609
0.609 0.609 0.174
0.609 0.609 0.609
```

Results
- V: 680.0 Å³ per cell
- N(E_F): 4.868 states/eV/f.u.
- Electronic total energy: -5.71 eV per atom

Record 2
A relaxed ZrTa2Ag crystal, computed with PBE.

Geometry as POSCAR:
```
ZrTa2Ag
1.0
0.000 3.360 3.360
3.360 0.000 3.360
3.360 3.360 0.000
Zr Ta Ag
1 2 1
direct
0.000 0.000 0.000
0.250 0.250 0.250
0.500 0.500 0.500
0.750 0.750 0.750
```

Results
- V: 75.8 Å³ per cell
- N(E_F): 2.512 states/eV/f.u.
- Electronic total energy: -8.56 eV per atom

Record 3
A relaxed Pr7Nd2Tm4 crystal, computed with PBE.

Geometry as POSCAR:
```
Pr7Nd2Tm4
1.0
6.258 0.000 0.000
-3.129 5.420 0.000
0.000 0.000 13.201
Pr Nd Tm
7 2 4
direct
0.000 0.000 0.000
0.000 0.375 0.228
0.000 0.625 0.772
0.375 0.000 0.228
0.375 0.375 0.772
0.625 0.000 0.772
0.625 0.625 0.228
0.333 0.667 0.000
0.667 0.333 0.000
0.000 0.000 0.393
0.000 0.000 0.607
0.333 0.667 0.500
0.667 0.333 0.500
```

Results
- V: 447.7 Å³ per cell
- N(E_F): 16.985 states/eV/f.u.
- Electronic total energy: -4.50 eV per atom